# PBE+U NiPtNO2, relaxed
# Total DFT energy (no corrections) (hartree per atom): -0.1680
# Size of the total moment (μB per formula unit): 1.636
data_NiPtNO2
_symmetry_space_group_name_H-M 'P 4/m m m'
_symmetry_Int_Tables_number 123
_symmetry_space_group_name_Hall '-P 4 2'
_cell_length_a 4.1534
_cell_length_b 4.1534
_cell_length_c 3.6478
_cell_angle_alpha 90.00
_cell_angle_beta 90.00
_cell_angle_gamma 90.00
loop_
_atom_site_label
_atom_site_fract_x
_atom_site_fract_y
_atom_site_fract_z
Ni1 0.0000 0.0000 0.0000
Pt1 0.5000 0.5000 0.5000
N1 0.5000 0.5000 0.0000
O1 0.0000 0.5000 0.5000